# La2Tb6DyHo3, optimized geometry, DFT PBE
data_La2Tb6DyHo3
_chemical_formula_sum 'La4 Tb12 Dy2 Ho6'
_symmetry_space_group_name_H-M 'C 1 2/m 1'
_symmetry_Int_Tables_number 12
_symmetry_space_group_name_Hall '-C 2y'
_cell_length_a 6.2072
_cell_length_b 10.7509
_cell_length_c 11.8729
_cell_angle_alpha 90.00
_cell_angle_beta 100.02
_cell_angle_gamma 90.00
loop_
_atom_site_label
_atom_site_fract_x
_atom_site_fract_y
_atom_site_fract_z
_atom_site_occupancy
La1 0.0000 0.1664 0.0000 1
Tb1 0.2465 0.5000 0.7451 1
Tb2 0.2484 0.1661 0.7453 1
Dy1 0.0000 0.5000 0.0000 1
Ho1 0.0000 0.0000 0.5000 1
Ho2 0.0000 0.3337 0.5000 1
# Formation enthalpy at 0 K: 24.5 kJ/mol of formula units
# V: 780 Å³ per cell